# 1
K2LiHg16 GGA-PBE relaxed; ΔE_f = -0.140 eV per atom; magnetic moment = 0.0000 μB/atom
1.0
-4.4781 6.8598 1.1961
-6.5377 -1.5015 -4.8523
-5.5296 -2.6587 5.5584
K Li Hg
2 1 16
direct
0.6421 0.6421 0.6421
0.3245 0.3245 0.3245
0.9424 0.9424 0.9424
0.7044 0.0013 0.2957
0.0013 0.2957 0.7044
0.2957 0.7044 0.0013
0.0013 0.7044 0.2957
0.7044 0.2957 0.0013
0.2957 0.0013 0.7044
0.3429 0.8979 0.3429
0.8979 0.3429 0.3429
0.3429 0.3429 0.8979
0.6040 0.2182 0.6040
0.2182 0.6040 0.6040
0.6040 0.6040 0.2182
0.9363 0.5976 0.9363
0.5976 0.9363 0.9363
0.9363 0.9363 0.5976
0.1080 0.1080 0.1080


# 2
KLi2Hg9 GGA-PBE relaxed; ΔE_f = -0.176 eV per atom; magnetic moment = 0.0000 μB/atom
1.0
4.3092 0.0000 0.0000
0.0000 9.2231 0.0000
0.0000 -4.6115 7.9874
K Li Hg
1 2 9
direct
0.0000 0.0000 0.0000
0.0000 0.6667 0.3333
0.0000 0.3333 0.6667
0.5000 0.8002 0.1998
0.0000 0.0000 0.5000
0.0000 0.5000 0.5000
0.5000 0.8002 0.6004
0.5000 0.1998 0.8002
0.5000 0.6004 0.8002
0.5000 0.1998 0.3996
0.0000 0.5000 0.0000
0.5000 0.3996 0.1998